Entry 1:
Below is a relaxed structure of InSbPb2, with properties calculated at the PBE level.

Lattice parameters (Å, degrees): 5.9259 5.9259 5.9259 129.92 129.92 73.54
Closest atoms and distances in Å follow each position.
Sites, in units of the cell vectors:
Pb  0.4999  0.4999  0.0000  4 In 3.45, 4 Sb 3.45, 4 Pb 3.55
Pb  0.0001  0.0001  0.0000  4 In 3.45, 4 Sb 3.45, 4 Pb 3.55
Sb  0.7500  0.2500  0.5000  8 Pb 3.45, 4 In 3.55
In  0.2500  0.7500  0.5000  8 Pb 3.45, 4 Sb 3.55

Calculated values
raw formation energy = 0.040 eV/atom
SG = I4/mmm
total magnetization = 0.00 μB/f.u.

---

Entry 2:
Below is a relaxed structure of InSbPb2, with properties calculated at the PBE level.

Lattice parameters (Å, degrees): 4.5181 5.1516 5.1516 90.00 90.00 90.00
Closest atoms and distances in Å follow each position.
Sites, in units of the cell vectors:
In  0.5000  0.0000  0.5000  8 Pb 3.43, 4 Sb 3.64
Sb  0.5000  0.5000  0.0000  8 Pb 3.43, 4 In 3.64
Pb  0.0000  0.0000  0.0000  4 In 3.43, 4 Sb 3.43, 4 Pb 3.64
Pb  0.0000  0.5000  0.5000  4 In 3.43, 4 Sb 3.43, 4 Pb 3.64

Calculated values
raw formation energy = 0.028 eV/atom
SG = P4/mmm
total magnetization = 0.00 μB/f.u.

---

Entry 3:
Below is a relaxed structure of InSbPb2, with properties calculated at the PBE level.

Lattice parameters (Å, degrees): 5.8543 3.3542 6.1202 89.40 90.00 90.00
Closest atoms and distances in Å follow each position.
Sites, in units of the cell vectors:
In  0.5000  0.7500  0.7500  2 In 3.35, 4 Pb 3.45, 4 Sb 3.47-3.50
Sb  0.5000  0.2500  0.2500  2 Sb 3.35, 4 Pb 3.38, 4 In 3.47-3.50
Pb  0.0000  0.0400  0.9998  6 Pb 3.35-3.64, 2 Sb 3.38, 2 In 3.45
Pb  0.0000  0.4600  0.5002  6 Pb 3.35-3.64, 2 Sb 3.38, 2 In 3.45

Calculated values
raw formation energy = 0.059 eV/atom
SG = P2/m
total magnetization = 0.00 μB/f.u.

---

Entry 4:
Below is a relaxed structure of In2SbPb, with properties calculated at the PBE level.

Lattice parameters (Å, degrees): 5.8415 5.8415 5.8415 129.37 129.34 74.43
Closest atoms and distances in Å follow each position.
Sites, in units of the cell vectors:
In  0.2502  0.7502  0.5000  4 Pb 3.41-3.42, 4 In 3.41, 4 Sb 3.53
In  0.0000  0.0000  0.0000  4 In 3.41, 4 Sb 3.41, 4 Pb 3.53
Sb  0.7500  0.2500  0.5000  8 In 3.41-3.53, 4 Pb 3.41
Pb  0.4998  0.4998  0.0000  8 In 3.41-3.53, 4 Sb 3.41

Calculated values
raw formation energy = 0.036 eV/atom
SG = I-4m2
total magnetization = 0.00 μB/f.u.

---

Copy entry 3 word for word.
Below is a relaxed structure of InSbPb2, with properties calculated at the PBE level.

Lattice parameters (Å, degrees): 5.8543 3.3542 6.1202 89.40 90.00 90.00
Closest atoms and distances in Å follow each position.
Sites, in units of the cell vectors:
In  0.5000  0.7500  0.7500  2 In 3.35, 4 Pb 3.45, 4 Sb 3.47-3.50
Sb  0.5000  0.2500  0.2500  2 Sb 3.35, 4 Pb 3.38, 4 In 3.47-3.50
Pb  0.0000  0.0400  0.9998  6 Pb 3.35-3.64, 2 Sb 3.38, 2 In 3.45
Pb  0.0000  0.4600  0.5002  6 Pb 3.35-3.64, 2 Sb 3.38, 2 In 3.45

Calculated values
raw formation energy = 0.059 eV/atom
SG = P2/m
total magnetization = 0.00 μB/f.u.

---

Question: Which formula does entry 1 have?
Answer: InSbPb2